Record 1
A plane-wave DFT calculation with PBE-GGA was carried out for an optimized crystal structure of Ac3Sc5Se12.

The value obtained for the final energy is -968.51 eV/cell. As for the crystal system: cubic. The raw formation energy comes out at -1.76 eV/atom.

The structure belongs to space group Ia-3d (No. 230); the cell edges are 16.785, 16.785 and 16.785 Å and the angles 90.00°, 90.00° and 90.00°. The inequivalent atoms are Ac at (0.000, 0.250, 0.125), Sc at (0.000, 0.000, 0.000), Sc at (0.000, 0.250, 0.375) and Se at (0.028, 0.059, 0.649).

***

Record 2
A plane-wave DFT calculation with PBE-GGA was carried out for an optimized crystal structure of CePbAu4.

The value obtained for the final energy is -99.66 eV/cell. Its formation energy is -2.2 eV per formula unit. As for the crystal system: cubic. For the polymorph energy (0 for the lowest one), the calculation gives 44.8 meV/atom.

The structure belongs to space group F-43m (No. 216); the cell edges are 8.106, 8.106 and 8.106 Å and the angles 90.00°, 90.00° and 90.00°. The inequivalent atoms are Ce at (0.000, 0.000, 0.000), Pb at (0.250, 0.250, 0.250) and Au at (0.125, 0.125, 0.625).

***

Record 3
A plane-wave DFT calculation with PBE-GGA was carried out for an optimized crystal structure of Ac3IrAu.

The value obtained for the final energy is -26.09 eV/cell. Its formation energy is -1.6 eV per formula unit. As for the crystal system: cubic. For the polymorph energy (0 for the lowest one), the calculation gives 359.4 meV/atom.

The structure belongs to space group Pm-3m (No. 221); the cell edges are 5.794, 5.794 and 5.794 Å and the angles 90.00°, 90.00° and 90.00°. The inequivalent atoms are Ac at (0.000, 0.000, 0.500), Ir at (0.000, 0.000, 0.000) and Au at (0.500, 0.500, 0.500).

***

Record 4
A plane-wave DFT calculation with PBE-GGA was carried out for an optimized crystal structure of HgSb2WCl.

The value obtained for the final energy is -16.70 eV/cell. As for the crystal system: tetragonal. The raw formation energy comes out at 1.33 eV/atom.

The structure belongs to space group P4/mmm (No. 123); the cell edges are 5.576, 5.576 and 4.360 Å and the angles 90.00°, 90.00° and 90.00°. The inequivalent atoms are Hg at (0.000, 0.000, 0.000), Sb at (0.000, 0.500, 0.500), W at (0.500, 0.500, 0.000) and Cl at (0.500, 0.500, 0.500).

***

Record 5
A plane-wave DFT calculation with PBE-GGA was carried out for an optimized crystal structure of Ce3In2Co.

The value obtained for the final energy is -128.42 eV/cell. Its formation energy is -1.7 eV per formula unit. As for the crystal system: monoclinic.

The structure belongs to space group C2/m (No. 12); the cell edges are 4.603, 14.211 and 8.811 Å and the angles 90.00°, 90.02° and 90.00°. The inequivalent atoms are Ce at (0.000, 0.000, 0.235), Ce at (0.002, 0.311, 0.803), In at (0.000, 0.168, 0.500), In at (0.000, 0.500, 0.000), In at (0.000, 0.500, 0.500) and Co at (0.000, 0.141, 0.000).

***

Record 6
A plane-wave DFT calculation with PBE-GGA was carried out for an optimized crystal structure of CsMn2CoCl8.

The value obtained for the final energy is -106.93 eV/cell. As for the crystal system: monoclinic. The raw formation energy comes out at -1.03 eV/atom.

The structure belongs to space group C2/m (No. 12); the cell edges are 10.463, 6.820 and 10.169 Å and the angles 90.00°, 106.80° and 90.00°. The inequivalent atoms are Cs at (0.000, 0.000, 0.000), Mn at (0.193, 0.000, 0.673), Co at (0.000, 0.500, 0.500), Cl at (0.043, 0.266, 0.668), Cl at (0.185, 0.500, 0.102) and Cl at (0.222, 0.500, 0.514).

***

Record 7
A plane-wave DFT calculation with PBE-GGA was carried out for an optimized crystal structure of Sr2LaCdRh.

The value obtained for the final energy is -17.86 eV/cell. Its formation energy is -1.3 eV per formula unit. As for the crystal system: tetragonal.

The structure belongs to space group P4/mmm (No. 123); the cell edges are 5.916, 5.916 and 5.367 Å and the angles 90.00°, 90.00° and 90.00°. The inequivalent atoms are Sr at (0.000, 0.500, 0.000), La at (0.000, 0.000, 0.500), Cd at (0.500, 0.500, 0.500) and Rh at (0.000, 0.000, 0.000).

***

Record 8
A plane-wave DFT calculation with PBE-GGA was carried out for an optimized crystal structure of RbClF3.

The value obtained for the final energy is -41.16 eV/cell. As for the crystal system: trigonal. For the polymorph energy (0 for the lowest one), the calculation gives 445.2 meV/atom. The raw formation energy comes out at -1.06 eV/atom.

The structure belongs to space group R3m (No. 160, hexagonal axes); the cell edges are 7.3813, 7.3813 and 10.6036 Å and the angles 90.00°, 90.00° and 120.00°. The inequivalent atoms are Rb at (0.0000, 0.0000, 0.0000), Cl at (0.0000, 0.0000, 0.3287) and F at (0.1959, 0.3918, 0.8848).

***

Question: The lowest final energy belongs to which entry?
Answer: Ac3Sc5Se12

***

Question: final energy of number 8 (RbClF3)?
Answer: -41.16 eV/cell

***

What did the third record say?
A plane-wave DFT calculation with PBE-GGA was carried out for an optimized crystal structure of Ac3IrAu.

The value obtained for the final energy is -26.09 eV/cell. Its formation energy is -1.6 eV per formula unit. As for the crystal system: cubic. For the polymorph energy (0 for the lowest one), the calculation gives 359.4 meV/atom.

The structure belongs to space group Pm-3m (No. 221); the cell edges are 5.794, 5.794 and 5.794 Å and the angles 90.00°, 90.00° and 90.00°. The inequivalent atoms are Ac at (0.000, 0.000, 0.500), Ir at (0.000, 0.000, 0.000) and Au at (0.500, 0.500, 0.500).

***

Copy entry 4 word for word.
A plane-wave DFT calculation with PBE-GGA was carried out for an optimized crystal structure of HgSb2WCl.

The value obtained for the final energy is -16.70 eV/cell. As for the crystal system: tetragonal. The raw formation energy comes out at 1.33 eV/atom.

The structure belongs to space group P4/mmm (No. 123); the cell edges are 5.576, 5.576 and 4.360 Å and the angles 90.00°, 90.00° and 90.00°. The inequivalent atoms are Hg at (0.000, 0.000, 0.000), Sb at (0.000, 0.500, 0.500), W at (0.500, 0.500, 0.000) and Cl at (0.500, 0.500, 0.500).